Below is a geometry-optimized Ca2ReCl structure, with properties calculated at the PBE-GGA level.

a = 5.818 Å, b = 5.818 Å, c = 5.300 Å
α = 90.00°, β = 90.00°, γ = 30.27°
Fractional coordinates of all 4 atoms:
Re 0.259 0.259 0.125
Ca 0.751 0.751 0.625
Ca 0.999 0.999 0.125
Cl 0.491 0.491 0.625

## Properties
E above lowest polymorph ... 0.226 eV/atom
Raw formation energy ... -0.0154 eV per atom
Magnetization ... 0.01 μB/atom
Volume ... 22.6 Å³ per atom
Total DFT energy (no corrections) ... -0.1687 hartree per atom

Below is a geometry-optimized Nd2HoN2Cl2 structure, with properties calculated at the PBE-GGA level.

a = 4.475 Å, b = 4.475 Å, c = 8.221 Å
α = 105.79°, β = 105.79°, γ = 90.00°
Fractional coordinates of all 7 atoms:
N 0.000 0.500 0.000
Cl 0.817 0.817 0.634
Cl 0.183 0.183 0.366
Nd 0.402 0.402 0.805
Nd 0.598 0.598 0.195
N 0.500 0.000 0.000
Ho 0.000 0.000 0.000

## Properties
Raw formation energy ... -1.4932 eV per atom
Magnetization ... 0.13 μB/atom
Volume ... 21.7 Å³ per atom
Total DFT energy (no corrections) ... -0.2358 hartree per atom

Below is a geometry-optimized CsAcBi structure, with properties calculated at the PBE-GGA level.

a = 5.476 Å, b = 5.475 Å, c = 10.880 Å
α = 75.41°, β = 75.45°, γ = 90.00°
Fractional coordinates of all 6 atoms:
Cs 0.390 0.778 0.788
Bi 0.965 0.353 0.639
Ac 0.075 0.963 0.418
Bi 0.185 0.574 0.197
Ac 0.575 0.463 0.418
Cs 0.761 0.148 0.047

## Properties
E above lowest polymorph ... 0.000 eV/atom
Magnetization ... 0.00 μB/atom
Calculated formation energy ... -0.52 eV/atom
Volume ... 50.8 Å³ per atom
Total DFT energy (no corrections) ... -0.1274 hartree per atom

Below is a geometry-optimized Cd3FeGe structure, with properties calculated at the PBE-GGA level.

a = 5.000 Å, b = 5.000 Å, c = 5.000 Å
α = 90.00°, β = 90.00°, γ = 90.00°
Fractional coordinates of all 5 atoms:
Cd 0.500 0.000 0.000
Ge 0.500 0.500 0.500
Cd 0.000 0.000 0.500
Fe 0.000 0.000 0.000
Cd 0.000 0.500 0.000

## Properties
E above lowest polymorph ... 0.000 eV/atom
Magnetization ... 0.45 μB/atom
Calculated formation energy ... 0.69 eV/atom
Volume ... 25.0 Å³ per atom
Total DFT energy (no corrections) ... -0.0908 hartree per atom

Below is a geometry-optimized Tb3TmRu structure, with properties calculated at the PBE-GGA level.

a = 6.196 Å, b = 6.392 Å, c = 7.611 Å
α = 90.00°, β = 90.00°, γ = 89.99°
Fractional coordinates of all 10 atoms:
Tm 0.930 0.017 0.201
Ru 0.176 0.674 0.701
Tb 0.422 0.332 0.201
Ru 0.676 0.679 0.201
Tb 0.925 0.494 0.450
Tb 0.922 0.020 0.701
Tb 0.925 0.494 0.951
Tm 0.430 0.336 0.701
Tb 0.425 0.858 0.950
Tb 0.425 0.858 0.451

## Properties
E above lowest polymorph ... 0.000 eV/atom
Magnetization ... 0.00 μB/atom
Calculated formation energy ... -0.13 eV/atom
Volume ... 30.1 Å³ per atom
Total DFT energy (no corrections) ... -0.2078 hartree per atom

Below is a geometry-optimized PaPb2Au structure, with properties calculated at the PBE-GGA level.

a = 4.500 Å, b = 4.739 Å, c = 4.739 Å
α = 90.00°, β = 90.00°, γ = 90.00°
Fractional coordinates of all 4 atoms:
Pb 0.000 0.000 0.500
Pb 0.000 0.500 0.000
Au 0.500 0.000 0.000
Pa 0.500 0.500 0.500

## Properties
E above lowest polymorph ... 0.000 eV/atom
Magnetization ... 0.02 μB/atom
Calculated formation energy ... -0.09 eV/atom
Volume ... 25.3 Å³ per atom
Total DFT energy (no corrections) ... -0.1889 hartree per atom